VASP calculation (PBE) on a geometry-optimized K3Ac3SbS8 structure.

a b c (Å): 8.6364 8.6364 22.5527
angles (deg): 90.00 90.00 120.00
Space group R-3m (No. 166, hexagonal axes)
Asymmetric unit:
1 K 0.0000 0.5000 0.0000 (multiplicity 9)
2 Ac 0.0000 0.5000 0.5000 (multiplicity 9)
3 Sb 0.0000 0.0000 0.5000 (multiplicity 3)
4 S 0.0000 0.0000 0.2382 (multiplicity 6)
5 S 0.0323 0.5162 0.2327 (multiplicity 18)

Computed properties:
Its total magnetization is 0.00 μB/f.u. The density of states at the Fermi level is 2.82 states/eV/f.u. The value obtained for the uncorrected formation energy is -1.5191 eV/atom. The crystal system is trigonal.